This record from Alexandria via LeMat-Bulk describes a relaxed ErTm2Pt9 crystal. The functional is GGA-PBE.

* formation enthalpy at 0 K: -1.085 eV/atom
* size of the total moment: 0.00 μB per formula unit
* final energy: -6.74 eV/atom

Lattice parameters (Å, degrees): 4.0938 4.0938 12.2813 90.00 90.00 90.00
With the nearest neighbours (Å) after each atom.
Space group P4/mmm (No. 123)
Symmetry-distinct sites (fractional):
Er 0.0000 0.0000 0.0000 [1 per cell]  12 Pt 2.89-2.90
Tm 0.0000 0.0000 0.3335 [2 per cell]  12 Pt 2.89
Pt 0.0000 0.5000 0.1673 [4 per cell]  2 Tm 2.89, 8 Pt 2.89-2.90, 2 Er 2.90
Pt 0.0000 0.5000 0.5000 [2 per cell]  8 Pt 2.89, 4 Tm 2.89
Pt 0.5000 0.5000 0.0000 [1 per cell]  4 Er 2.89, 8 Pt 2.90
Pt 0.5000 0.5000 0.3336 [2 per cell]  8 Pt 2.89, 4 Tm 2.89

This record from Alexandria via LeMat-Bulk describes a relaxed Y3Th2Sc crystal. The functional is GGA-PBE.

* formation enthalpy at 0 K: 0.037 eV/atom
* size of the total moment: 0.00 μB per formula unit
* final energy: -6.72 eV/atom
* polymorph energy (0 for the lowest one): 0.0 meV/atom

Lattice parameters (Å, degrees): 9.8891 3.5547 10.5494 90.00 90.50 90.00
With the nearest neighbours (Å) after each atom.
Space group P2_1/m (No. 11)
Symmetry-distinct sites (fractional):
Y 0.1212 0.2500 0.2506 [2 per cell]  5 Th 3.51-3.62, 7 Y 3.52-3.59
Y 0.1407 0.2500 0.9163 [2 per cell]  2 Sc 3.42, 3 Th 3.49-3.50, 7 Y 3.53-3.76
Y 0.3741 0.7500 0.4156 [2 per cell]  3 Th 3.47-3.51, 6 Y 3.52-3.55, 3 Sc 3.52-3.53
Th 0.1287 0.2500 0.5848 [2 per cell]  2 Sc 3.46, 6 Y 3.50-3.53, 4 Th 3.55-3.57
Th 0.3861 0.7500 0.0869 [2 per cell]  4 Th 3.41-3.55, 3 Sc 3.42-3.57, 5 Y 3.47-3.62
Sc 0.3742 0.7500 0.7490 [2 per cell]  5 Y 3.42-3.53, 5 Th 3.42-3.57, 2 Sc 3.55